DFT (PBE-GGA) results for an optimized crystal structure of YTl2Ir.

Results
E = -5.04 eV per atom

Unit cell a=5.035 b=5.035 c=5.035 alpha=60.00 beta=60.00 gamma=60.00
Fractional positions:
Y 0.000 0.000 0.000
Tl 0.500 0.500 0.500
Tl 0.750 0.750 0.750
Ir 0.250 0.250 0.250